# 1
{
  "formula": "Sc4Sb3Mo2N3",
  "functional": "PBE-GGA",
  "state": "relaxed",
  "lattice": [[5.041, -2.918, 0.000], [5.041, 2.918, 0.000], [-3.291, 0.000, 13.107]],
  "species": ["Mo", "Sc", "Sb", "Sc", "Sc", "Sb", "N", "Sb", "Mo", "Sb", "N", "Sc", "Sc", "N", "N", "Mo", "N", "Sc", "Sb", "Sc", "Sb", "Sc", "Mo", "N"],
  "fractional_positions": [[0.629, 0.475, 0.425], [0.204, 0.019, 0.085], [0.730, 0.584, 0.752], [0.981, 0.796, 0.415], [0.697, 0.853, 0.585], [0.270, 0.416, 0.248], [0.327, 0.849, 0.500], [0.416, 0.270, 0.748], [0.525, 0.371, 0.075], [0.584, 0.730, 0.252], [0.500, 0.000, 0.000], [0.019, 0.204, 0.585], [0.147, 0.303, 0.915], [0.849, 0.327, 0.000], [0.151, 0.673, 0.000], [0.371, 0.525, 0.575], [0.000, 0.500, 0.500], [0.796, 0.981, 0.915], [0.897, 0.103, 0.250], [0.303, 0.147, 0.415], [0.103, 0.897, 0.750], [0.853, 0.697, 0.085], [0.475, 0.629, 0.925], [0.673, 0.151, 0.500]]
}



# 2
{
  "formula": "SiSbMo4N2",
  "functional": "PBE-GGA",
  "state": "relaxed",
  "lattice": [[3.297, 0.000, 0.000], [-1.648, 2.855, 0.000], [0.000, 0.000, 12.060]],
  "species": ["Mo", "N", "Si", "Mo", "Sb", "N", "Mo", "Mo"],
  "fractional_positions": [[0.000, 0.000, 0.858], [0.667, 0.333, 0.747], [0.333, 0.667, 0.000], [0.333, 0.667, 0.310], [0.000, 0.000, 0.500], [0.667, 0.333, 0.253], [0.333, 0.667, 0.690], [0.000, 0.000, 0.142]]
}



# 3
{
  "formula": "SiSbMo4N2",
  "functional": "PBE-GGA",
  "state": "relaxed",
  "lattice": [[-0.544, 0.400, 3.227], [3.036, -0.682, -1.088], [2.264, 11.797, -1.080]],
  "species": ["Mo", "Mo", "Mo", "Sb", "N", "Si", "N", "Mo"],
  "fractional_positions": [[0.000, 0.000, 0.358], [0.667, 0.333, 0.190], [0.667, 0.333, 0.810], [0.000, 0.000, 0.000], [0.333, 0.667, 0.753], [0.667, 0.333, 0.500], [0.333, 0.667, 0.247], [0.000, 0.000, 0.642]]
}



# 4
{
  "formula": "Sm3Sb3Mo2N12",
  "functional": "PBE-GGA",
  "state": "relaxed",
  "lattice": [[6.618, 0.733, 9.033], [-8.187, -7.422, 1.953], [6.069, -3.361, -8.821]],
  "species": ["Sb", "N", "Mo", "Sb", "N", "N", "Sm", "N", "Sb", "N", "N", "Sb", "N", "Sm", "N", "Sb", "Sb", "N", "N", "N", "N", "Sb", "N", "N", "N", "Sm", "Sm", "Mo", "N", "Sm", "Mo", "N", "N", "N", "Mo", "N", "N", "N", "Sm", "N", "N", "Sm", "N", "N", "N", "N", "N", "Sm", "N", "N", "N", "N", "N", "Mo", "Sb", "Sb", "N", "Mo", "Sb", "Mo", "N", "N", "Sm", "N", "Sb", "Sm", "N", "N", "Mo", "Sm", "N", "N", "Sb", "N", "N", "Sm", "N", "N", "N", "N"],
  "fractional_positions": [[0.750, 0.875, 0.125], [0.085, 0.700, 0.673], [0.500, 0.000, 0.500], [0.625, 0.750, 0.375], [0.473, 0.385, 0.300], [0.412, 0.827, 0.527], [0.875, 0.750, 0.625], [0.385, 0.300, 0.473], [0.875, 0.125, 0.750], [0.615, 0.700, 0.527], [0.027, 0.327, 0.912], [0.125, 0.875, 0.250], [0.085, 0.885, 0.412], [0.625, 0.875, 0.750], [0.973, 0.800, 0.885], [0.250, 0.125, 0.875], [0.750, 0.375, 0.625], [0.827, 0.800, 0.415], [0.415, 0.088, 0.615], [0.173, 0.473, 0.588], [0.415, 0.827, 0.800], [0.250, 0.625, 0.375], [0.300, 0.473, 0.385], [0.700, 0.527, 0.615], [0.088, 0.973, 0.673], [0.250, 0.875, 0.625], [0.375, 0.125, 0.250], [0.500, 0.000, 0.000], [0.885, 0.412, 0.085], [0.750, 0.625, 0.875], [0.000, 0.500, 0.500], [0.327, 0.912, 0.027], [0.300, 0.327, 0.915], [0.885, 0.973, 0.800], [0.000, 0.500, 0.000], [0.588, 0.173, 0.473], [0.115, 0.588, 0.915], [0.915, 0.300, 0.327], [0.625, 0.250, 0.875], [0.412, 0.085, 0.885], [0.527, 0.615, 0.700], [0.875, 0.625, 0.250], [0.088, 0.615, 0.415], [0.673, 0.085, 0.700], [0.915, 0.115, 0.588], [0.327, 0.915, 0.300], [0.973, 0.673, 0.088], [0.125, 0.375, 0.750], [0.115, 0.027, 0.200], [0.800, 0.415, 0.827], [0.912, 0.385, 0.585], [0.585, 0.912, 0.385], [0.673, 0.088, 0.973], [0.000, 0.000, 0.500], [0.125, 0.750, 0.875], [0.375, 0.250, 0.625], [0.173, 0.200, 0.585], [0.500, 0.500, 0.000], [0.875, 0.250, 0.125], [0.500, 0.500, 0.500], [0.473, 0.588, 0.173], [0.912, 0.027, 0.327], [0.125, 0.250, 0.375], [0.585, 0.173, 0.200], [0.375, 0.625, 0.750], [0.375, 0.750, 0.125], [0.527, 0.412, 0.827], [0.588, 0.915, 0.115], [0.000, 0.000, 0.000], [0.250, 0.375, 0.125], [0.615, 0.415, 0.088], [0.200, 0.585, 0.173], [0.625, 0.375, 0.250], [0.800, 0.885, 0.973], [0.385, 0.585, 0.912], [0.750, 0.125, 0.375], [0.027, 0.200, 0.115], [0.200, 0.115, 0.027], [0.700, 0.673, 0.085], [0.827, 0.527, 0.412]]
}



Result set for raw total energy: -189.74 -69.93 -69.93 -611.19 eV for the cell shown, one per record in the order listed.